--- A ---
# K3RbTl8 PBE optimized geometry
data_K3RbTl8
_chemical_formula_sum 'K3 Rb1 Tl8'
_space_group_name_H-M_alt 'P 1'
_space_group_IT_number 1
_cell_length_a 6.805
_cell_length_b 6.805
_cell_length_c 10.592
_cell_angle_alpha 90.00
_cell_angle_beta 90.00
_cell_angle_gamma 120.00
loop_
_space_group_symop_operation_xyz
'x,y,z'
loop_
_atom_site_label
_atom_site_fract_x
_atom_site_fract_y
_atom_site_fract_z
K1 0.000 0.000 0.000
K2 0.000 0.000 0.373
K3 0.333 0.667 0.876
Rb1 0.333 0.667 0.499
Tl1 0.002 0.501 0.185
Tl2 0.328 0.164 0.689
Tl3 0.499 0.501 0.185
Tl4 0.499 0.998 0.185
Tl5 0.667 0.333 0.438
Tl6 0.667 0.333 0.935
Tl7 0.836 0.164 0.689
Tl8 0.836 0.672 0.689
# **SG**: No. 156

***

--- B ---
# K3RbTl8 PBE optimized geometry
data_K3RbTl8
_chemical_formula_sum 'K3 Rb1 Tl8'
_space_group_name_H-M_alt 'P 1'
_space_group_IT_number 1
_cell_length_a 11.590
_cell_length_b 11.590
_cell_length_c 11.590
_cell_angle_alpha 33.99
_cell_angle_beta 33.99
_cell_angle_gamma 33.99
loop_
_space_group_symop_operation_xyz
'x,y,z'
loop_
_atom_site_label
_atom_site_fract_x
_atom_site_fract_y
_atom_site_fract_z
K1 0.000 0.000 0.000
K2 0.124 0.124 0.124
K3 0.625 0.625 0.625
Rb1 0.500 0.500 0.500
Tl1 0.061 0.562 0.562
Tl2 0.063 0.063 0.563
Tl3 0.063 0.563 0.063
Tl4 0.312 0.312 0.312
Tl5 0.562 0.061 0.562
Tl6 0.562 0.562 0.061
Tl7 0.563 0.063 0.063
Tl8 0.812 0.812 0.812
# **SG**: No. 160

***

Which structure is most stable? A, by 0.027 eV/atom over the runner-up.

***

--- A ---
# K2RbTlZn PBE optimized geometry
data_K2RbTlZn
_chemical_formula_sum 'K2 Rb1 Tl1 Zn1'
_space_group_name_H-M_alt 'P 1'
_space_group_IT_number 1
_cell_length_a 6.733
_cell_length_b 6.733
_cell_length_c 5.501
_cell_angle_alpha 90.00
_cell_angle_beta 90.00
_cell_angle_gamma 90.00
loop_
_space_group_symop_operation_xyz
'x,y,z'
loop_
_atom_site_label
_atom_site_fract_x
_atom_site_fract_y
_atom_site_fract_z
K1 0.000 0.500 0.000
K2 0.500 0.000 0.000
Rb1 0.000 0.000 0.500
Tl1 0.500 0.500 0.500
Zn1 0.500 0.500 0.000
# **SG**: No. 123

***

--- B ---
# K2RbTlZn PBE optimized geometry
data_K2RbTlZn
_chemical_formula_sum 'K2 Rb1 Tl1 Zn1'
_space_group_name_H-M_alt 'P 1'
_space_group_IT_number 1
_cell_length_a 6.931
_cell_length_b 6.931
_cell_length_c 5.498
_cell_angle_alpha 90.00
_cell_angle_beta 90.00
_cell_angle_gamma 90.00
loop_
_space_group_symop_operation_xyz
'x,y,z'
loop_
_atom_site_label
_atom_site_fract_x
_atom_site_fract_y
_atom_site_fract_z
K1 0.000 0.500 0.000
K2 0.500 0.000 0.000
Rb1 0.000 0.000 0.500
Tl1 0.500 0.500 0.000
Zn1 0.500 0.500 0.500
# **SG**: No. 123

***

Which structure is most stable? A, by 0.038 eV/atom over the runner-up.

***

--- A ---
# K2RbV PBE optimized geometry
data_K2RbV
_chemical_formula_sum 'K8 Rb4 V4'
_space_group_name_H-M_alt 'P 1'
_space_group_IT_number 1
_cell_length_a 9.317
_cell_length_b 9.317
_cell_length_c 9.317
_cell_angle_alpha 90.00
_cell_angle_beta 90.00
_cell_angle_gamma 90.00
loop_
_space_group_symop_operation_xyz
'x,y,z'
loop_
_atom_site_label
_atom_site_fract_x
_atom_site_fract_y
_atom_site_fract_z
K1 0.250 0.250 0.250
K2 0.250 0.250 0.750
K3 0.250 0.750 0.250
K4 0.250 0.750 0.750
K5 0.750 0.250 0.250
K6 0.750 0.250 0.750
K7 0.750 0.750 0.250
K8 0.750 0.750 0.750
Rb1 0.000 0.000 0.000
Rb2 0.000 0.500 0.500
Rb3 0.500 0.000 0.500
Rb4 0.500 0.500 0.000
V1 0.000 0.000 0.500
V2 0.000 0.500 0.000
V3 0.500 0.000 0.000
V4 0.500 0.500 0.500
# **SG**: No. 225

***

--- B ---
# K2RbV PBE optimized geometry
data_K2RbV
_chemical_formula_sum 'K8 Rb4 V4'
_space_group_name_H-M_alt 'P 1'
_space_group_IT_number 1
_cell_length_a 5.656
_cell_length_b 5.656
_cell_length_c 27.562
_cell_angle_alpha 90.00
_cell_angle_beta 90.00
_cell_angle_gamma 90.00
loop_
_space_group_symop_operation_xyz
'x,y,z'
loop_
_atom_site_label
_atom_site_fract_x
_atom_site_fract_y
_atom_site_fract_z
K1 0.223 0.250 0.125
K2 0.250 0.723 0.375
K3 0.250 0.777 0.875
K4 0.277 0.250 0.625
K5 0.723 0.750 0.625
K6 0.750 0.223 0.875
K7 0.750 0.277 0.375
K8 0.777 0.750 0.125
Rb1 0.000 0.000 0.500
Rb2 0.000 0.500 0.750
Rb3 0.500 0.000 0.250
Rb4 0.500 0.500 0.000
V1 0.000 0.000 0.000
V2 0.000 0.500 0.250
V3 0.500 0.000 0.750
V4 0.500 0.500 0.500
# **SG**: No. 122

***

Which structure is most stable? A, by 0.096 eV/atom over the runner-up.

***

--- A ---
# K2RbW PBE optimized geometry
data_K2RbW
_chemical_formula_sum 'K8 Rb4 W4'
_space_group_name_H-M_alt 'P 1'
_space_group_IT_number 1
_cell_length_a 5.647
_cell_length_b 5.647
_cell_length_c 27.144
_cell_angle_alpha 90.00
_cell_angle_beta 90.00
_cell_angle_gamma 90.00
loop_
_space_group_symop_operation_xyz
'x,y,z'
loop_
_atom_site_label
_atom_site_fract_x
_atom_site_fract_y
_atom_site_fract_z
K1 0.219 0.250 0.125
K2 0.250 0.719 0.375
K3 0.250 0.781 0.875
K4 0.281 0.250 0.625
K5 0.719 0.750 0.625
K6 0.750 0.219 0.875
K7 0.750 0.281 0.375
K8 0.781 0.750 0.125
Rb1 0.000 0.000 0.500
Rb2 0.000 0.500 0.750
Rb3 0.500 0.000 0.250
Rb4 0.500 0.500 0.000
W1 0.000 0.000 0.000
W2 0.000 0.500 0.250
W3 0.500 0.000 0.750
W4 0.500 0.500 0.500
# **SG**: No. 122

***

--- B ---
# K2RbW PBE optimized geometry
data_K2RbW
_chemical_formula_sum 'K8 Rb4 W4'
_space_group_name_H-M_alt 'P 1'
_space_group_IT_number 1
_cell_length_a 9.144
_cell_length_b 9.144
_cell_length_c 9.144
_cell_angle_alpha 90.00
_cell_angle_beta 90.00
_cell_angle_gamma 90.00
loop_
_space_group_symop_operation_xyz
'x,y,z'
loop_
_atom_site_label
_atom_site_fract_x
_atom_site_fract_y
_atom_site_fract_z
K1 0.250 0.250 0.250
K2 0.250 0.250 0.750
K3 0.250 0.750 0.250
K4 0.250 0.750 0.750
K5 0.750 0.250 0.250
K6 0.750 0.250 0.750
K7 0.750 0.750 0.250
K8 0.750 0.750 0.750
Rb1 0.000 0.000 0.000
Rb2 0.000 0.500 0.500
Rb3 0.500 0.000 0.500
Rb4 0.500 0.500 0.000
W1 0.000 0.000 0.500
W2 0.000 0.500 0.000
W3 0.500 0.000 0.000
W4 0.500 0.500 0.500
# **SG**: No. 225

***

Which structure is most stable? B, by 0.101 eV/atom over the runner-up.

***

--- A ---
# KRb3Y PBE optimized geometry
data_KRb3Y
_chemical_formula_sum 'K1 Rb3 Y1'
_space_group_name_H-M_alt 'P 1'
_space_group_IT_number 1
_cell_length_a 7.371
_cell_length_b 7.371
_cell_length_c 7.371
_cell_angle_alpha 90.00
_cell_angle_beta 90.00
_cell_angle_gamma 90.00
loop_
_space_group_symop_operation_xyz
'x,y,z'
loop_
_atom_site_label
_atom_site_fract_x
_atom_site_fract_y
_atom_site_fract_z
K1 0.000 0.000 0.000
Rb1 0.000 0.000 0.500
Rb2 0.000 0.500 0.000
Rb3 0.500 0.000 0.000
Y1 0.500 0.500 0.500
# **SG**: No. 221

***

--- B ---
# KRb3Y PBE optimized geometry
data_KRb3Y
_chemical_formula_sum 'K1 Rb3 Y1'
_space_group_name_H-M_alt 'P 1'
_space_group_IT_number 1
_cell_length_a 7.709
_cell_length_b 7.709
_cell_length_c 7.709
_cell_angle_alpha 90.00
_cell_angle_beta 90.00
_cell_angle_gamma 90.00
loop_
_space_group_symop_operation_xyz
'x,y,z'
loop_
_atom_site_label
_atom_site_fract_x
_atom_site_fract_y
_atom_site_fract_z
K1 0.000 0.000 0.000
Rb1 0.000 0.500 0.500
Rb2 0.500 0.000 0.500
Rb3 0.500 0.500 0.000
Y1 0.500 0.500 0.500
# **SG**: No. 221

***

Which structure is most stable? B, by 0.088 eV/atom over the runner-up.

***

--- A ---
# K2RbY2 PBE optimized geometry
data_K2RbY2
_chemical_formula_sum 'K4 Rb2 Y4'
_space_group_name_H-M_alt 'P 1'
_space_group_IT_number 1
_cell_length_a 12.168
_cell_length_b 12.168
_cell_length_c 3.651
_cell_angle_alpha 90.00
_cell_angle_beta 90.00
_cell_angle_gamma 90.00
loop_
_space_group_symop_operation_xyz
'x,y,z'
loop_
_atom_site_label
_atom_site_fract_x
_atom_site_fract_y
_atom_site_fract_z
K1 0.194 0.306 0.000
K2 0.306 0.806 0.000
K3 0.694 0.194 0.000
K4 0.806 0.694 0.000
Rb1 0.000 0.000 0.500
Rb2 0.500 0.500 0.500
Y1 0.092 0.592 0.500
Y2 0.408 0.092 0.500
Y3 0.592 0.908 0.500
Y4 0.908 0.408 0.500
# **SG**: No. 127

***

--- B ---
# K2RbY2 PBE optimized geometry
data_K2RbY2
_chemical_formula_sum 'K4 Rb2 Y4'
_space_group_name_H-M_alt 'P 1'
_space_group_IT_number 1
_cell_length_a 5.600
_cell_length_b 5.600
_cell_length_c 18.683
_cell_angle_alpha 90.00
_cell_angle_beta 90.00
_cell_angle_gamma 90.00
loop_
_space_group_symop_operation_xyz
'x,y,z'
loop_
_atom_site_label
_atom_site_fract_x
_atom_site_fract_y
_atom_site_fract_z
K1 0.000 0.500 0.250
K2 0.000 0.500 0.750
K3 0.500 0.000 0.250
K4 0.500 0.000 0.750
Rb1 0.000 0.000 0.000
Rb2 0.500 0.500 0.500
Y1 0.000 0.000 0.418
Y2 0.000 0.000 0.582
Y3 0.500 0.500 0.082
Y4 0.500 0.500 0.918
# **SG**: No. 139

***

Which structure is most stable? A, by 0.222 eV/atom over the runner-up.